DFT (PBE with a Hubbard U) results for a geometry-optimized YCrF structure.

POSCAR file:
```
YCrF
1.0
3.707 0.000 0.000
0.000 3.745 0.000
0.000 0.000 8.545
Y Cr F
2 2 2
direct
0.250 0.250 0.183
0.750 0.750 0.817
0.250 0.250 0.592
0.750 0.750 0.408
0.250 0.750 0.002
0.750 0.250 0.998
```

=====

DFT (PBE with a Hubbard U) results for a geometry-optimized Na3V3O8 structure.

POSCAR file:
```
Na3V3O8
1.0
5.620 0.000 0.000
-2.810 4.867 0.000
0.000 0.000 6.879
Na V O
3 3 8
direct
0.000 0.000 0.000
0.333 0.667 0.660
0.667 0.333 0.340
0.000 0.000 0.500
0.333 0.667 0.226
0.667 0.333 0.774
0.166 0.332 0.322
0.166 0.834 0.322
0.332 0.166 0.678
0.333 0.667 0.982
0.667 0.333 0.018
0.668 0.834 0.322
0.834 0.166 0.678
0.834 0.668 0.678
```

=====

no.,DFT total energy (eV/atom),energy relative to the lowest polymorph listed for this composition (eV per atom),D(E_F) (states/eV per atom)
1,-6.676,0.056,0.896
2,-6.674,0.025,0.000